--- 1 ---
Ce2PuGa2, relaxed, DFT PBE; space-group type = C2/m (12)
1.0
10.442 0.000 0.000
0.000 4.055 0.000
-4.441 0.000 5.422
Ce Pu Ga
4 2 4
direct
0.074 0.000 0.372
0.426 0.500 0.628
0.574 0.500 0.372
0.926 0.000 0.628
0.000 0.500 0.000
0.500 0.000 0.000
0.221 0.500 0.832
0.279 0.000 0.168
0.721 0.000 0.832
0.779 0.500 0.168

---

--- 2 ---
Ce2PuGa2, relaxed, DFT PBE; space-group type = C2/m (12)
1.0
5.265 -2.182 0.000
5.265 2.182 0.000
-2.082 0.000 10.059
Ce Pu Ga
4 2 4
direct
0.095 0.095 0.376
0.159 0.159 0.066
0.841 0.841 0.934
0.905 0.905 0.624
0.229 0.229 0.762
0.771 0.771 0.238
0.391 0.391 0.411
0.464 0.464 0.155
0.536 0.536 0.845
0.609 0.609 0.589

---

Which of them is the least stable? Correct choice: 1.

---

--- 1 ---
Ce8Pu3Ga2, relaxed, DFT PBE; space-group type = C2/m (12)
1.0
7.362 -3.807 0.000
7.362 3.807 0.000
-1.526 0.000 6.093
Ce Pu Ga
8 3 2
direct
0.092 0.092 0.425
0.164 0.634 0.106
0.366 0.836 0.894
0.388 0.388 0.586
0.612 0.612 0.414
0.634 0.164 0.106
0.836 0.366 0.894
0.908 0.908 0.575
0.273 0.727 0.500
0.500 0.500 0.000
0.727 0.273 0.500
0.237 0.237 0.154
0.763 0.763 0.846

---

--- 2 ---
Ce8Pu3Ga2, relaxed, DFT PBE; space-group type = C2/m (12)
1.0
6.892 -3.235 0.000
6.892 3.235 0.000
-3.144 0.000 7.445
Ce Pu Ga
8 3 2
direct
0.079 0.079 0.332
0.118 0.634 0.051
0.277 0.277 0.663
0.366 0.882 0.949
0.634 0.118 0.051
0.723 0.723 0.337
0.882 0.366 0.949
0.921 0.921 0.668
0.271 0.729 0.500
0.500 0.500 0.000
0.729 0.271 0.500
0.287 0.287 0.291
0.713 0.713 0.709

---

Which of them is the least stable? Correct choice: 1.